Entry from the Alexandria database: crystalline LiTi2VO6 at its relaxed geometry (PBE with a Hubbard U).

Geometry as POSCAR:
```
LiTi2VO6
1.0
9.863 0.000 0.000
0.000 8.995 0.000
-1.309 0.000 5.577
Li Ti V O
4 8 4 24
direct
0.249 0.003 0.493
0.249 0.497 0.993
0.751 0.503 0.007
0.751 0.997 0.507
0.049 0.155 0.806
0.049 0.345 0.306
0.446 0.160 0.234
0.446 0.340 0.734
0.554 0.660 0.266
0.554 0.840 0.766
0.951 0.655 0.694
0.951 0.845 0.194
0.251 0.665 0.461
0.251 0.835 0.961
0.749 0.165 0.039
0.749 0.335 0.539
0.110 0.203 0.123
0.110 0.297 0.623
0.128 0.517 0.253
0.128 0.983 0.753
0.145 0.660 0.757
0.145 0.840 0.257
0.361 0.670 0.180
0.361 0.830 0.680
0.380 0.193 0.507
0.380 0.307 0.007
0.381 0.518 0.637
0.381 0.982 0.137
0.619 0.018 0.863
0.619 0.482 0.363
0.620 0.693 0.993
0.620 0.807 0.493
0.639 0.170 0.320
0.639 0.330 0.820
0.855 0.160 0.743
0.855 0.340 0.243
0.872 0.017 0.247
0.872 0.483 0.747
0.890 0.703 0.377
0.890 0.797 0.877
```

SG: P2_1/c, No. 14
Fermi-level density of states, states/eV/f.u.: 0.00
Distance to the lowest polymorph of the same formula, eV per atom: 0.000